[1]
# MnP3 | Alexandria | SCAN | PBEsol geometry
data_MnP3
_chemical_formula_sum 'Mn2 P6'
_symmetry_space_group_name_H-M 'I 4/m m m'
_symmetry_Int_Tables_number 139
_symmetry_space_group_name_Hall '-I 4 2'
_cell_length_a 3.435
_cell_length_b 3.435
_cell_length_c 9.467
_cell_angle_alpha 90.00
_cell_angle_beta 90.00
_cell_angle_gamma 90.00
loop_
_atom_site_label
_atom_site_fract_x
_atom_site_fract_y
_atom_site_fract_z
Mn1 0.000 0.000 0.000
P1 0.000 0.000 0.500
P2 0.000 0.500 0.250
# - crystal system = tetragonal
# - energy of formation (eV/atom) = 0.3765
# - energy (eV per atom) = -11.99
# - distance to the lowest polymorph of the same formula (meV/atom) = 0.0

[2]
# Os2RuRh | Alexandria | SCAN | PBEsol geometry
data_Os2RuRh
_chemical_formula_sum 'Os6 Ru3 Rh3'
_symmetry_space_group_name_H-M 'R -3 m'
_symmetry_Int_Tables_number 166
_symmetry_space_group_name_Hall '-R 3 2"'
_cell_length_a 2.6852
_cell_length_b 2.6852
_cell_length_c 26.2882
_cell_angle_alpha 90.00
_cell_angle_beta 90.00
_cell_angle_gamma 120.00
loop_
_atom_site_label
_atom_site_fract_x
_atom_site_fract_y
_atom_site_fract_z
Os1 0.0000 0.0000 0.2491
Ru1 0.0000 0.0000 0.5000
Rh1 0.0000 0.0000 0.0000
# - crystal system = trigonal
# - energy of formation (eV/atom) = 0.0958
# - energy (eV per atom) = -52.99
# - distance to the lowest polymorph of the same formula (meV/atom) = 0.7

[3]
# CsHg2AuCl | Alexandria | SCAN | PBEsol geometry
data_CsHg2AuCl
_chemical_formula_sum 'Cs1 Hg2 Au1 Cl1'
_symmetry_space_group_name_H-M 'P 4/m m m'
_symmetry_Int_Tables_number 123
_symmetry_space_group_name_Hall '-P 4 2'
_cell_length_a 6.242
_cell_length_b 6.242
_cell_length_c 4.806
_cell_angle_alpha 90.00
_cell_angle_beta 90.00
_cell_angle_gamma 90.00
loop_
_atom_site_label
_atom_site_fract_x
_atom_site_fract_y
_atom_site_fract_z
Cs1 0.000 0.000 0.000
Hg1 0.000 0.500 0.500
Au1 0.500 0.500 0.000
Cl1 0.500 0.500 0.500
# - crystal system = tetragonal
# - energy (eV per atom) = -50.45
# - ΔE_f (raw) (eV per formula unit) = -0.97

[4]
# LiZrP | Alexandria | SCAN | PBEsol geometry
data_LiZrP
_chemical_formula_sum 'Li1 Zr1 P1'
_symmetry_space_group_name_H-M 'P -6 m 2'
_symmetry_Int_Tables_number 187
_symmetry_space_group_name_Hall 'P -6 2'
_cell_length_a 3.8019
_cell_length_b 3.8019
_cell_length_c 3.4814
_cell_angle_alpha 90.00
_cell_angle_beta 90.00
_cell_angle_gamma 120.00
loop_
_atom_site_label
_atom_site_fract_x
_atom_site_fract_y
_atom_site_fract_z
Li1 0.0000 0.0000 0.0000
Zr1 0.6667 0.3333 0.5000
P1 0.3333 0.6667 0.0000
# - crystal system = hexagonal
# - energy of formation (eV/atom) = -0.9869
# - energy (eV per atom) = -15.48

[5]
# CsNa2Br | Alexandria | SCAN | PBEsol geometry
data_CsNa2Br
_chemical_formula_sum 'Cs4 Na8 Br4'
_symmetry_space_group_name_H-M 'F m -3 m'
_symmetry_Int_Tables_number 225
_symmetry_space_group_name_Hall '-F 4 2 3'
_cell_length_a 8.771
_cell_length_b 8.771
_cell_length_c 8.771
_cell_angle_alpha 90.00
_cell_angle_beta 90.00
_cell_angle_gamma 90.00
loop_
_atom_site_label
_atom_site_fract_x
_atom_site_fract_y
_atom_site_fract_z
Cs1 0.000 0.000 0.000
Na1 0.250 0.250 0.250
Br1 0.000 0.000 0.500
# - crystal system = cubic
# - energy (eV per atom) = -16.79
# - ΔE_f (raw) (eV per formula unit) = -1.47

[6]
# La2HgOs | Alexandria | SCAN | PBEsol geometry
data_La2HgOs
_chemical_formula_sum 'La4 Hg2 Os2'
_symmetry_space_group_name_H-M 'I -4 m 2'
_symmetry_Int_Tables_number 119
_symmetry_space_group_name_Hall 'I -4 -2'
_cell_length_a 4.525
_cell_length_b 4.525
_cell_length_c 8.887
_cell_angle_alpha 90.00
_cell_angle_beta 90.00
_cell_angle_gamma 90.00
loop_
_atom_site_label
_atom_site_fract_x
_atom_site_fract_y
_atom_site_fract_z
La1 0.000 0.000 0.000
La2 0.000 0.500 0.250
Hg1 0.000 0.500 0.750
Os1 0.000 0.000 0.500
# - crystal system = tetragonal
# - energy of formation (eV/atom) = -0.0461
# - energy (eV per atom) = -56.61

[7]
# Ge3Mo5C | Alexandria | SCAN | PBEsol geometry
data_Ge3Mo5C
_chemical_formula_sum 'Ge6 Mo10 C2'
_symmetry_space_group_name_H-M 'P 63/m c m'
_symmetry_Int_Tables_number 193
_symmetry_space_group_name_Hall '-P 6c 2'
_cell_length_a 7.3786
_cell_length_b 7.3786
_cell_length_c 5.2661
_cell_angle_alpha 90.00
_cell_angle_beta 90.00
_cell_angle_gamma 120.00
loop_
_atom_site_label
_atom_site_fract_x
_atom_site_fract_y
_atom_site_fract_z
Ge1 0.0000 0.4032 0.2500
Mo1 0.0000 0.2267 0.7500
Mo2 0.3333 0.6667 0.0000
C1 0.0000 0.0000 0.0000
# - crystal system = hexagonal
# - energy of formation (eV/atom) = -0.1069
# - energy (eV per atom) = -26.97

[8]
# YFe2Co | Alexandria | SCAN | PBEsol geometry
data_YFe2Co
_chemical_formula_sum 'Y1 Fe2 Co1'
_symmetry_space_group_name_H-M 'P 4 m m'
_symmetry_Int_Tables_number 99
_cell_length_a 3.018
_cell_length_b 3.018
_cell_length_c 6.311
_cell_angle_alpha 90.00
_cell_angle_beta 90.00
_cell_angle_gamma 90.00
loop_
_symmetry_equiv_pos_as_xyz
'x,y,z'
'-y,x,z'
'-x,-y,z'
'y,-x,z'
'-x,y,z'
'y,x,z'
'x,-y,z'
'-y,-x,z'
loop_
_atom_site_label
_atom_site_fract_x
_atom_site_fract_y
_atom_site_fract_z
Y1 0.000 0.000 0.000
Fe1 0.000 0.000 0.498
Fe2 0.500 0.500 0.692
Co1 0.500 0.500 0.309
# - crystal system = tetragonal
# - energy of formation (eV/atom) = 0.1440
# - energy (eV per atom) = -20.21